1.
{
  "formula": "AlNi2Mo",
  "functional": "GGA-PBEsol",
  "state": "relaxed",
  "sg": "C2/m (12)",
  "e_form_ev_per_atom": -0.119,
  "dft_energy_ev_per_atom": -7.16,
  "dos_ef_per_ev_atom": 0.756,
  "lattice_angstrom": [[4.156, -1.311, 0.000], [4.156, 1.311, 0.000], [-0.701, 0.000, 4.632]],
  "species": ["Al", "Ni", "Ni", "Mo"],
  "frac_coords": [[0.000, 0.000, 0.000], [0.255, 0.255, 0.746], [0.745, 0.745, 0.254], [0.500, 0.500, 0.500]]
}

2.
{
  "formula": "AlNi2Mo",
  "functional": "GGA-PBEsol",
  "state": "relaxed",
  "sg": "P4/mmm (123)",
  "e_form_ev_per_atom": -0.330,
  "dft_energy_ev_per_atom": -7.37,
  "dos_ef_per_ev_atom": 0.957,
  "lattice_angstrom": [[2.665, 0.000, 0.000], [0.000, 2.665, 0.000], [0.000, 0.000, 6.838]],
  "species": ["Al", "Ni", "Ni", "Mo"],
  "frac_coords": [[0.000, 0.000, 0.000], [0.500, 0.500, 0.231], [0.500, 0.500, 0.769], [0.000, 0.000, 0.500]]
}

3.
{
  "formula": "Al2NiMoRh",
  "functional": "GGA-PBEsol",
  "state": "relaxed",
  "sg": "P4/mmm (123)",
  "e_form_ev_per_atom": 0.680,
  "dft_energy_ev_per_atom": -6.17,
  "dos_ef_per_ev_atom": 1.358,
  "lattice_angstrom": [[4.235, 0.000, 0.000], [0.000, 4.235, 0.000], [0.000, 0.000, 4.477]],
  "species": ["Al", "Al", "Ni", "Mo", "Rh"],
  "frac_coords": [[0.000, 0.500, 0.000], [0.500, 0.000, 0.000], [0.000, 0.000, 0.000], [0.500, 0.500, 0.500], [0.000, 0.000, 0.500]]
}

4.
{
  "formula": "AlMo2O",
  "functional": "GGA-PBEsol",
  "state": "relaxed",
  "sg": "Fm-3m (225)",
  "dft_energy_ev_per_atom": -7.73,
  "e_form_raw_ev_per_atom": 0.487,
  "dos_ef_per_ev_atom": 1.148,
  "lattice_angstrom": [[0.000, 2.974, 2.974], [2.974, 0.000, 2.974], [2.974, 2.974, 0.000]],
  "species": ["Al", "Mo", "Mo", "O"],
  "frac_coords": [[0.000, 0.000, 0.000], [0.250, 0.250, 0.250], [0.750, 0.750, 0.750], [0.500, 0.500, 0.500]]
}

5.
{
  "formula": "AlMoO2",
  "functional": "GGA-PBEsol",
  "state": "relaxed",
  "sg": "R-3m (166)",
  "dft_energy_ev_per_atom": -8.20,
  "e_form_raw_ev_per_atom": -1.609,
  "dos_ef_per_ev_atom": 0.254,
  "lattice_angstrom": [[1.385, 0.799, 6.539], [-1.385, 0.799, 6.539], [0.000, -1.599, 6.539]],
  "species": ["Al", "Mo", "O", "O"],
  "frac_coords": [[0.000, 0.000, 0.000], [0.500, 0.500, 0.500], [0.097, 0.097, 0.097], [0.903, 0.903, 0.903]]
}

6.
{
  "formula": "Al2Mo3O12",
  "functional": "GGA-PBEsol",
  "state": "relaxed",
  "sg": "Pbcn (60)",
  "dft_energy_ev_per_atom": -8.57,
  "e_form_raw_ev_per_atom": -2.304,
  "dos_ef_per_ev_atom": 0.000,
  "lattice_angstrom": [[12.594, 0.000, 0.000], [0.000, 9.048, 0.000], [0.000, 0.000, 9.142]],
  "species": ["Al", "Al", "Al", "Al", "Al", "Al", "Al", "Al", "Mo", "Mo", "Mo", "Mo", "Mo", "Mo", "Mo", "Mo", "Mo", "Mo", "Mo", "Mo", "O", "O", "O", "O", "O", "O", "O", "O", "O", "O", "O", "O", "O", "O", "O", "O", "O", "O", "O", "O", "O", "O", "O", "O", "O", "O", "O", "O", "O", "O", "O", "O", "O", "O", "O", "O", "O", "O", "O", "O", "O", "O", "O", "O", "O", "O", "O", "O"],
  "frac_coords": [[0.119, 0.250, 0.035], [0.119, 0.750, 0.535], [0.381, 0.250, 0.535], [0.381, 0.750, 0.035], [0.619, 0.250, 0.965], [0.619, 0.750, 0.465], [0.881, 0.250, 0.465], [0.881, 0.750, 0.965], [0.000, 0.025, 0.750], [0.000, 0.975, 0.250], [0.145, 0.396, 0.382], [0.145, 0.604, 0.882], [0.355, 0.104, 0.882], [0.355, 0.896, 0.382], [0.500, 0.475, 0.250], [0.500, 0.525, 0.750], [0.645, 0.104, 0.618], [0.645, 0.896, 0.118], [0.855, 0.396, 0.118], [0.855, 0.604, 0.618], [0.022, 0.318, 0.428], [0.022, 0.682, 0.928], [0.065, 0.137, 0.879], [0.065, 0.863, 0.379], [0.094, 0.088, 0.163], [0.094, 0.912, 0.663], [0.140, 0.412, 0.910], [0.140, 0.588, 0.410], [0.169, 0.361, 0.195], [0.169, 0.639, 0.695], [0.244, 0.318, 0.492], [0.244, 0.682, 0.992], [0.256, 0.182, 0.992], [0.256, 0.818, 0.492], [0.331, 0.139, 0.695], [0.331, 0.861, 0.195], [0.360, 0.088, 0.410], [0.360, 0.912, 0.910], [0.406, 0.412, 0.663], [0.406, 0.588, 0.163], [0.435, 0.363, 0.379], [0.435, 0.637, 0.879], [0.478, 0.182, 0.928], [0.478, 0.818, 0.428], [0.522, 0.182, 0.572], [0.522, 0.818, 0.072], [0.565, 0.363, 0.121], [0.565, 0.637, 0.621], [0.594, 0.412, 0.837], [0.594, 0.588, 0.337], [0.640, 0.088, 0.090], [0.640, 0.912, 0.590], [0.669, 0.139, 0.805], [0.669, 0.861, 0.305], [0.744, 0.182, 0.508], [0.744, 0.818, 0.008], [0.756, 0.318, 0.008], [0.756, 0.682, 0.508], [0.831, 0.361, 0.305], [0.831, 0.639, 0.805], [0.860, 0.412, 0.590], [0.860, 0.588, 0.090], [0.906, 0.088, 0.337], [0.906, 0.912, 0.837], [0.935, 0.137, 0.621], [0.935, 0.863, 0.121], [0.978, 0.318, 0.072], [0.978, 0.682, 0.572]]
}

7.
{
  "formula": "AlMo3O",
  "functional": "GGA-PBEsol",
  "state": "relaxed",
  "sg": "Pm-3m (221)",
  "dft_energy_ev_per_atom": -9.31,
  "e_form_raw_ev_per_atom": -0.380,
  "dos_ef_per_ev_atom": 0.502,
  "lattice_angstrom": [[4.070, 0.000, 0.000], [0.000, 4.070, 0.000], [0.000, 0.000, 4.070]],
  "species": ["Al", "Mo", "Mo", "Mo", "O"],
  "frac_coords": [[0.000, 0.000, 0.000], [0.000, 0.500, 0.500], [0.500, 0.000, 0.500], [0.500, 0.500, 0.000], [0.500, 0.500, 0.500]]
}

8.
{
  "formula": "Sr4Al6MoO16",
  "functional": "GGA-PBEsol",
  "state": "relaxed",
  "sg": "I-4m2 (119)",
  "dft_energy_ev_per_atom": -7.67,
  "e_form_raw_ev_per_atom": -2.945,
  "dos_ef_per_ev_atom": 0.000,
  "lattice_angstrom": [[-4.703, 4.703, 4.803], [4.703, -4.703, 4.803], [4.703, 4.703, -4.803]],
  "species": ["Sr", "Sr", "Sr", "Sr", "Al", "Al", "Al", "Al", "Al", "Al", "Mo", "O", "O", "O", "O", "O", "O", "O", "O", "O", "O", "O", "O", "O", "O", "O", "O"],
  "frac_coords": [[0.241, 0.241, 0.483], [0.241, 0.759, 0.000], [0.759, 0.241, 0.000], [0.759, 0.759, 0.517], [0.000, 0.000, 0.000], [0.254, 0.006, 0.752], [0.254, 0.502, 0.248], [0.498, 0.746, 0.752], [0.500, 0.500, 0.000], [0.994, 0.746, 0.248], [0.750, 0.250, 0.500], [0.057, 0.902, 0.155], [0.087, 0.587, 0.175], [0.087, 0.913, 0.500], [0.098, 0.253, 0.155], [0.098, 0.943, 0.845], [0.413, 0.587, 0.500], [0.413, 0.913, 0.825], [0.417, 0.251, 0.834], [0.417, 0.583, 0.166], [0.417, 0.583, 0.834], [0.489, 0.142, 0.347], [0.747, 0.902, 0.845], [0.749, 0.583, 0.166], [0.795, 0.142, 0.653], [0.858, 0.205, 0.347], [0.858, 0.511, 0.653]]
}

9.
{
  "formula": "AlMo2Os",
  "functional": "GGA-PBEsol",
  "state": "relaxed",
  "sg": "P4/mmm (123)",
  "e_form_ev_per_atom": -0.079,
  "dft_energy_ev_per_atom": -10.04,
  "dos_ef_per_ev_atom": 0.511,
  "lattice_angstrom": [[2.792, 0.000, 0.000], [0.000, 2.792, 0.000], [0.000, 0.000, 7.561]],
  "species": ["Al", "Mo", "Mo", "Os"],
  "frac_coords": [[0.000, 0.000, 0.000], [0.500, 0.500, 0.255], [0.500, 0.500, 0.745], [0.000, 0.000, 0.500]]
}

10.
{
  "formula": "AlMo2Os",
  "functional": "GGA-PBEsol",
  "state": "relaxed",
  "sg": "I-4m2 (119)",
  "e_form_ev_per_atom": 0.040,
  "dft_energy_ev_per_atom": -9.92,
  "dos_ef_per_ev_atom": 0.741,
  "lattice_angstrom": [[-1.883, 1.883, 4.147], [1.883, -1.883, 4.147], [1.883, 1.883, -4.147]],
  "species": ["Al", "Mo", "Mo", "Os"],
  "frac_coords": [[0.000, 0.000, 0.000], [0.500, 0.500, 0.000], [0.750, 0.250, 0.500], [0.250, 0.750, 0.500]]
}

11.
{
  "formula": "AlMoOs2",
  "functional": "GGA-PBEsol",
  "state": "relaxed",
  "sg": "Cmmm (65)",
  "e_form_ev_per_atom": 0.122,
  "dft_energy_ev_per_atom": -9.95,
  "dos_ef_per_ev_atom": 0.768,
  "lattice_angstrom": [[1.461, -2.293, 0.000], [1.461, 2.293, 0.000], [0.000, 0.000, 8.573]],
  "species": ["Al", "Mo", "Os", "Os"],
  "frac_coords": [[0.000, 0.000, 0.000], [0.000, 0.000, 0.500], [0.500, 0.500, 0.242], [0.500, 0.500, 0.758]]
}

12.
{
  "formula": "AlMo2Os",
  "functional": "GGA-PBEsol",
  "state": "relaxed",
  "sg": "Immm (71)",
  "e_form_ev_per_atom": -0.227,
  "dft_energy_ev_per_atom": -10.19,
  "dos_ef_per_ev_atom": 0.472,
  "lattice_angstrom": [[-1.552, 2.099, 4.421], [1.552, -2.099, 4.421], [1.552, 2.099, -4.421]],
  "species": ["Al", "Mo", "Mo", "Os"],
  "frac_coords": [[0.000, 0.000, 0.000], [0.253, 0.753, 0.500], [0.747, 0.247, 0.500], [0.500, 0.500, 0.000]]
}

13.
{
  "formula": "AlMoOs2",
  "functional": "GGA-PBEsol",
  "state": "relaxed",
  "sg": "Imm2 (44)",
  "e_form_ev_per_atom": -0.081,
  "dft_energy_ev_per_atom": -10.15,
  "dos_ef_per_ev_atom": 0.535,
  "lattice_angstrom": [[-1.519, 2.122, 4.373], [1.519, -2.122, 4.373], [1.519, 2.122, -4.373]],
  "species": ["Al", "Mo", "Os", "Os"],
  "frac_coords": [[0.000, 0.000, 0.000], [0.249, 0.749, 0.500], [0.500, 0.500, 0.000], [0.763, 0.263, 0.500]]
}

14.
{
  "formula": "AlMo2Os",
  "functional": "GGA-PBEsol",
  "state": "relaxed",
  "sg": "Cm (8)",
  "e_form_ev_per_atom": 0.034,
  "dft_energy_ev_per_atom": -9.93,
  "dos_ef_per_ev_atom": 0.619,
  "lattice_angstrom": [[4.453, -1.381, 0.000], [4.453, 1.381, 0.000], [-0.551, 0.000, 4.797]],
  "species": ["Al", "Mo", "Mo", "Os"],
  "frac_coords": [[0.000, 0.000, 0.000], [0.512, 0.512, 0.510], [0.752, 0.752, 0.244], [0.257, 0.257, 0.754]]
}

15.
{
  "formula": "AlMoOs2",
  "functional": "GGA-PBEsol",
  "state": "relaxed",
  "sg": "P4/mmm (123)",
  "e_form_ev_per_atom": -0.223,
  "dft_energy_ev_per_atom": -10.30,
  "dos_ef_per_ev_atom": 0.507,
  "lattice_angstrom": [[2.976, 0.000, 0.000], [0.000, 2.976, 0.000], [0.000, 0.000, 6.334]],
  "species": ["Al", "Mo", "Os", "Os"],
  "frac_coords": [[0.000, 0.000, 0.000], [0.000, 0.000, 0.500], [0.500, 0.500, 0.239], [0.500, 0.500, 0.761]]
}

16.
{
  "formula": "AlMo3Os",
  "functional": "GGA-PBEsol",
  "state": "relaxed",
  "sg": "Pm-3m (221)",
  "e_form_ev_per_atom": 1.634,
  "dft_energy_ev_per_atom": -8.69,
  "dos_ef_per_ev_atom": 1.102,
  "lattice_angstrom": [[4.673, 0.000, 0.000], [0.000, 4.673, 0.000], [0.000, 0.000, 4.673]],
  "species": ["Al", "Mo", "Mo", "Mo", "Os"],
  "frac_coords": [[0.000, 0.000, 0.000], [0.000, 0.500, 0.500], [0.500, 0.000, 0.500], [0.500, 0.500, 0.000], [0.500, 0.500, 0.500]]
}

17.
{
  "formula": "Al2MoOsSe",
  "functional": "GGA-PBEsol",
  "state": "relaxed",
  "sg": "P4/mmm (123)",
  "dft_energy_ev_per_atom": -6.56,
  "e_form_raw_ev_per_atom": 0.640,
  "dos_ef_per_ev_atom": 0.462,
  "lattice_angstrom": [[4.682, 0.000, 0.000], [0.000, 4.682, 0.000], [0.000, 0.000, 4.783]],
  "species": ["Al", "Al", "Mo", "Os", "Se"],
  "frac_coords": [[0.000, 0.500, 0.000], [0.500, 0.000, 0.000], [0.000, 0.000, 0.500], [0.000, 0.000, 0.000], [0.500, 0.500, 0.500]]
}

18.
{
  "formula": "SrAlMoOs2",
  "functional": "GGA-PBEsol",
  "state": "relaxed",
  "sg": "P4/mmm (123)",
  "e_form_ev_per_atom": 1.690,
  "dft_energy_ev_per_atom": -6.74,
  "dos_ef_per_ev_atom": 1.156,
  "lattice_angstrom": [[4.663, 0.000, 0.000], [0.000, 4.663, 0.000], [0.000, 0.000, 5.335]],
  "species": ["Sr", "Al", "Mo", "Os", "Os"],
  "frac_coords": [[0.000, 0.000, 0.000], [0.500, 0.500, 0.000], [0.000, 0.000, 0.500], [0.000, 0.500, 0.500], [0.500, 0.000, 0.500]]
}

19.
{
  "formula": "Al2MoP",
  "functional": "GGA-PBEsol",
  "state": "relaxed",
  "sg": "C2/m (12)",
  "e_form_ev_per_atom": -0.016,
  "dft_energy_ev_per_atom": -6.45,
  "dos_ef_per_ev_atom": 0.615,
  "lattice_angstrom": [[4.697, -1.442, 0.000], [4.697, 1.442, 0.000], [-0.390, 0.000, 4.296]],
  "species": ["Al", "Al", "Mo", "P"],
  "frac_coords": [[0.240, 0.240, 0.248], [0.760, 0.760, 0.752], [0.500, 0.500, 0.000], [0.000, 0.000, 0.500]]
}

20.
{
  "formula": "AlMo2P",
  "functional": "GGA-PBEsol",
  "state": "relaxed",
  "sg": "R3m (160)",
  "e_form_ev_per_atom": -0.077,
  "relative_energy_mev_per_atom": 16.8,
  "dft_energy_ev_per_atom": -8.43,
  "dos_ef_per_ev_atom": 0.520,
  "lattice_angstrom": [[1.458, 0.842, 8.145], [-1.458, 0.842, 8.145], [0.000, -1.684, 8.145]],
  "species": ["Al", "Mo", "Mo", "P"],
  "frac_coords": [[0.000, 0.000, 0.000], [0.248, 0.248, 0.248], [0.492, 0.492, 0.492], [0.754, 0.754, 0.754]]
}

21.
{
  "formula": "AlMo2P",
  "functional": "GGA-PBEsol",
  "state": "relaxed",
  "sg": "Pmmm (47)",
  "e_form_ev_per_atom": -0.024,
  "relative_energy_mev_per_atom": 69.4,
  "dft_energy_ev_per_atom": -8.38,
  "dos_ef_per_ev_atom": 0.703,
  "lattice_angstrom": [[3.273, 0.000, 0.000], [0.000, 3.922, 0.000], [0.000, 0.000, 4.424]],
  "species": ["Al", "Mo", "Mo", "P"],
  "frac_coords": [[0.000, 0.000, 0.000], [0.000, 0.500, 0.500], [0.500, 0.500, 0.000], [0.500, 0.000, 0.500]]
}

22.
{
  "formula": "AlMoP2",
  "functional": "GGA-PBEsol",
  "state": "relaxed",
  "sg": "C2/m (12)",
  "e_form_ev_per_atom": -0.185,
  "relative_energy_mev_per_atom": 0.0,
  "dft_energy_ev_per_atom": -7.05,
  "dos_ef_per_ev_atom": 0.570,
  "lattice_angstrom": [[4.046, -1.543, 0.000], [4.046, 1.543, 0.000], [-0.394, 0.000, 4.640]],
  "species": ["Al", "Mo", "P", "P"],
  "frac_coords": [[0.000, 0.000, 0.000], [0.500, 0.500, 0.500], [0.225, 0.225, 0.706], [0.775, 0.775, 0.294]]
}

23.
{
  "formula": "Al2MoP",
  "functional": "GGA-PBEsol",
  "state": "relaxed",
  "sg": "Imm2 (44)",
  "e_form_ev_per_atom": -0.154,
  "dft_energy_ev_per_atom": -6.59,
  "dos_ef_per_ev_atom": 0.569,
  "lattice_angstrom": [[-1.625, 2.182, 4.042], [1.625, -2.182, 4.042], [1.625, 2.182, -4.042]],
  "species": ["Al", "Al", "Mo", "P"],
  "frac_coords": [[0.000, 0.000, 0.000], [0.739, 0.239, 0.500], [0.270, 0.770, 0.500], [0.499, 0.499, 0.000]]
}

24.
{
  "formula": "AlMoP2",
  "functional": "GGA-PBEsol",
  "state": "relaxed",
  "sg": "I4/mmm (139)",
  "e_form_ev_per_atom": -0.087,
  "relative_energy_mev_per_atom": 98.0,
  "dft_energy_ev_per_atom": -6.95,
  "dos_ef_per_ev_atom": 0.714,
  "lattice_angstrom": [[-2.247, 2.247, 2.712], [2.247, -2.247, 2.712], [2.247, 2.247, -2.712]],
  "species": ["Al", "Mo", "P", "P"],
  "frac_coords": [[0.000, 0.000, 0.000], [0.500, 0.500, 0.000], [0.250, 0.750, 0.500], [0.750, 0.250, 0.500]]
}

25.
{
  "formula": "AlMo2P",
  "functional": "GGA-PBEsol",
  "state": "relaxed",
  "sg": "Cmmm (65)",
  "e_form_ev_per_atom": -0.093,
  "relative_energy_mev_per_atom": 0.0,
  "dft_energy_ev_per_atom": -8.45,
  "dos_ef_per_ev_atom": 0.690,
  "lattice_angstrom": [[1.579, -2.378, 0.000], [1.579, 2.378, 0.000], [0.000, 0.000, 7.795]],
  "species": ["Al", "Mo", "Mo", "P"],
  "frac_coords": [[0.000, 0.000, 0.000], [0.500, 0.500, 0.276], [0.500, 0.500, 0.724], [0.000, 0.000, 0.500]]
}